No. 1
CsZr2Au: optimized geometry, PBEsol.

abc: 4.965 4.965 4.965
angles: 60.00 60.00 60.00
Element x y z (fractional)
Cs  0.000  0.000  0.000
Au  0.500  0.500  0.500
Zr  0.250  0.250  0.250
Zr  0.750  0.750  0.750

Computed properties:
- Calculated density: 9829 kg/m³
- Raw total energy: -5.20 eV per atom
- Energy relative to the elements: 0.56 eV per atom
- Volume: 87 Å³/f.u.
- Symmetry: Fm-3m

No. 2
Cu3Au: optimized geometry, PBEsol.

abc: 2.674 3.534 5.413
angles: 90.00 90.00 90.00
Element x y z (fractional)
Au  0.000  0.000  0.000
Cu  0.500  0.500  0.728
Cu  0.000  0.000  0.500
Cu  0.500  0.500  0.272

Computed properties:
- Calculated density: 12582 kg/m³
- Raw total energy: -4.25 eV per atom
- Energy relative to the elements: -0.01 eV per atom
- Volume: 51 Å³/f.u.
- Symmetry: Pmmm

No. 3
CuAu3: optimized geometry, PBEsol.

abc: 2.841 4.856 4.856
angles: 109.69 90.00 90.00
Element x y z (fractional)
Au  0.000  0.000  0.000
Au  0.500  0.000  0.500
Au  0.500  0.500  0.000
Cu  0.000  0.500  0.500

Computed properties:
- Calculated density: 17230 kg/m³
- Raw total energy: -4.01 eV per atom
- Energy relative to the elements: 0.01 eV per atom
- Volume: 63 Å³/f.u.
- Symmetry: Cmmm

No. 4
Cu3Au: optimized geometry, PBEsol.

abc: 4.266 5.256 5.256
angles: 120.00 90.00 90.00
Element x y z (fractional)
Au  0.750  0.667  0.333
Au  0.250  0.333  0.667
Cu  0.750  0.161  0.323
Cu  0.250  0.839  0.677
Cu  0.750  0.161  0.839
Cu  0.250  0.839  0.161
Cu  0.750  0.677  0.839
Cu  0.250  0.323  0.161

Computed properties:
- Calculated density: 12614 kg/m³
- Raw total energy: -4.27 eV per atom
- Energy relative to the elements: -0.03 eV per atom
- Volume: 51 Å³/f.u.
- Symmetry: P6_3/mmc

No. 5
Cu4Au: optimized geometry, PBEsol.

abc: 2.716 2.716 8.684
angles: 99.00 99.00 90.00
Element x y z (fractional)
Au  0.000  0.000  0.000
Cu  0.388  0.388  0.776
Cu  0.796  0.796  0.591
Cu  0.204  0.204  0.409
Cu  0.612  0.612  0.224

Computed properties:
- Calculated density: 11992 kg/m³
- Raw total energy: -4.24 eV per atom
- Energy relative to the elements: 0.01 eV per atom
- Volume: 62 Å³/f.u.
- Energy above the lowest structure with this stoichiometry: 15 kJ/mol of formula units
- Symmetry: I4/mmm

No. 6
CuAu2: optimized geometry, PBEsol.

abc: 2.823 4.916 7.457
angles: 112.78 90.00 106.68
Element x y z (fractional)
Au  0.001  0.002  0.714
Au  0.336  0.672  0.910
Au  0.664  0.328  0.090
Au  0.999  0.998  0.286
Cu  0.315  0.629  0.412
Cu  0.685  0.371  0.588

Computed properties:
- Calculated density: 16755 kg/m³
- Raw total energy: -4.09 eV per atom
- Energy relative to the elements: -0.03 eV per atom
- Volume: 45 Å³/f.u.
- Energy above the lowest structure with this stoichiometry: 4 kJ/mol of formula units
- Symmetry: C2/m

No. 7
CuAu3: optimized geometry, PBEsol.

abc: 2.832 2.832 9.098
angles: 90.00 90.00 120.00
Element x y z (fractional)
Au  0.333  0.667  0.270
Au  0.333  0.667  0.730
Au  0.000  0.000  0.000
Cu  0.000  0.000  0.500

Computed properties:
- Calculated density: 17194 kg/m³
- Raw total energy: -4.01 eV per atom
- Energy relative to the elements: 0.02 eV per atom
- Volume: 63 Å³/f.u.
- Symmetry: P-6m2

No. 8
Cu5Au3: optimized geometry, PBEsol.

abc: 3.770 5.356 5.356
angles: 91.99 90.00 90.00
Element x y z (fractional)
Au  0.000  0.500  0.500
Au  0.500  0.764  0.236
Au  0.500  0.236  0.764
Cu  0.000  0.000  0.000
Cu  0.000  0.500  0.000
Cu  0.000  0.000  0.500
Cu  0.500  0.750  0.750
Cu  0.500  0.250  0.250

Computed properties:
- Calculated density: 13960 kg/m³
- Raw total energy: -4.22 eV per atom
- Energy relative to the elements: -0.04 eV per atom
- Volume: 108 Å³/f.u.
- Symmetry: Cmmm